Record 1
Entry from the Alexandria database: crystalline LaPuAu at its relaxed geometry (PBE).

Structure (CIF):
```
data_LaPuAu
_symmetry_space_group_name_H-M 'P 1 21/m 1'
_symmetry_Int_Tables_number 11
_symmetry_space_group_name_Hall '-P 2yb'
_cell_length_a 4.887
_cell_length_b 3.627
_cell_length_c 8.694
_cell_angle_alpha 90.00
_cell_angle_beta 97.47
_cell_angle_gamma 90.00
loop_
_atom_site_label
_atom_site_fract_x
_atom_site_fract_y
_atom_site_fract_z
La1 0.222 0.250 0.352
Pu1 0.148 0.750 0.004
Au1 0.314 0.250 0.746
```

Summary:
Calculated volume ... 153 Å³ per cell
Energy of formation from the pure elements ... -233 meV/atom
Crystal system ... monoclinic
Distance to the lowest polymorph of the same formula ... 0.0659 eV per atom
Calculated density ... 12.60 Mg/m³

***

Record 2
Entry from the Alexandria database: crystalline LaPuAu4 at its relaxed geometry (PBE).

Structure (CIF):
```
data_LaPuAu4
_symmetry_space_group_name_H-M 'F -4 3 m'
_symmetry_Int_Tables_number 216
_symmetry_space_group_name_Hall 'F -4 2 3'
_cell_length_a 8.136
_cell_length_b 8.136
_cell_length_c 8.136
_cell_angle_alpha 90.00
_cell_angle_beta 90.00
_cell_angle_gamma 90.00
loop_
_atom_site_label
_atom_site_fract_x
_atom_site_fract_y
_atom_site_fract_z
La1 0.000 0.000 0.000
Pu1 0.250 0.250 0.750
Au1 0.125 0.125 0.375
```

Summary:
Calculated volume ... 539 Å³ per cell
Energy of formation from the pure elements ... -426 meV/atom
Crystal system ... cubic
Distance to the lowest polymorph of the same formula ... 0.2118 eV per atom
Calculated density ... 14.44 Mg/m³